Crystalline ZrZnIr2 at its relaxed geometry. Source: Alexandria, functional GGA-PBEsol.

abc: 4.138 4.138 3.558
angles: 90.00 90.00 90.00
Space group P4/mmm (No. 123)
One atom of each set of equivalent atoms:
Zr: 0.000 0.000 0.000 x1
Zn: 0.500 0.500 0.000 x1
Ir: 0.000 0.500 0.500 x2

Computed properties:
The value obtained for the formation energy is -0.662 eV/atom.



Crystalline Zr3ZnIr at its relaxed geometry. Source: Alexandria, functional GGA-PBEsol.

abc: 4.985 4.985 4.985
angles: 90.00 90.00 90.00
Space group Pm-3m (No. 221)
One atom of each set of equivalent atoms:
Zr: 0.000 0.000 0.500 x3
Zn: 0.500 0.500 0.500 x1
Ir: 0.000 0.000 0.000 x1

Computed properties:
The value obtained for the formation energy is 0.309 eV/atom.



Crystalline ZrZnIr2 at its relaxed geometry. Source: Alexandria, functional GGA-PBEsol.

abc: 3.414 3.414 5.467
angles: 90.00 90.00 90.00
Space group P4mm (No. 99)
One atom of each set of equivalent atoms:
Zr: 0.000 0.000 0.000 x1
Zn: 0.500 0.500 0.704 x1
Ir: 0.000 0.000 0.526 x1
Ir: 0.500 0.500 0.215 x1

Computed properties:
The value obtained for the formation energy is -0.298 eV/atom.



Crystalline Zr3Ir2 at its relaxed geometry. Source: Alexandria, functional GGA-PBEsol.

abc: 4.5171 4.5171 5.6340
angles: 90.00 90.00 120.00
Space group P-3m1 (No. 164)
One atom of each set of equivalent atoms:
Zr: 0.0000 0.0000 0.0000 x1
Zr: 0.3333 0.6667 0.3421 x2
Ir: 0.3333 0.6667 0.8301 x2

Computed properties:
The value obtained for the formation energy is -0.691 eV/atom.



no.,N(E_F) (states/eV/f.u.)
1,0.8
2,8.8
3,2.0
4,3.4